Entry 1:
{
  "formula": "Pm7Br12Cl",
  "functional": "PBE",
  "state": "optimized geometry",
  "magnetic_moment_mub_per_cell": 0.04,
  "e_tot_ev_per_cell": -88.09,
  "spacegroup": "R-3",
  "cell": [[9.212, -0.146, -0.219], [-2.701, 8.808, -0.219], [-2.701, -3.594, 8.044]],
  "species": ["Br", "Br", "Br", "Br", "Br", "Br", "Br", "Br", "Br", "Br", "Br", "Br", "Cl", "Pm", "Pm", "Pm", "Pm", "Pm", "Pm", "Pm"],
  "fractional_positions": [[0.518, 0.847, 0.604], [0.688, 0.223, 0.076], [0.924, 0.312, 0.777], [0.604, 0.518, 0.847], [0.482, 0.153, 0.396], [0.312, 0.777, 0.924], [0.396, 0.482, 0.153], [0.076, 0.688, 0.223], [0.153, 0.396, 0.482], [0.777, 0.924, 0.312], [0.847, 0.604, 0.518], [0.223, 0.076, 0.688], [0.000, 0.000, 0.000], [0.120, 0.047, 0.325], [0.675, 0.880, 0.953], [0.500, 0.500, 0.500], [0.325, 0.120, 0.047], [0.047, 0.325, 0.120], [0.880, 0.953, 0.675], [0.953, 0.675, 0.880]]
}

Entry 2:
{
  "formula": "Ce8InPb2",
  "functional": "PBE",
  "state": "optimized geometry",
  "magnetic_moment_mub_per_cell": 4.51,
  "e_tot_ev_per_cell": -59.15,
  "e_form_ev_per_atom": -0.138,
  "spacegroup": "C2/m",
  "cell": [[5.730, 1.113, 0.000], [1.836, 8.415, 0.000], [0.918, 4.207, 7.131]],
  "species": ["Ce", "Ce", "Ce", "Ce", "Ce", "Ce", "Ce", "Ce", "In", "Pb", "Pb"],
  "fractional_positions": [[0.911, 0.083, 0.189], [0.500, 0.229, 0.541], [0.089, 0.729, 0.189], [0.911, 0.271, 0.811], [0.089, 0.917, 0.811], [0.500, 0.771, 0.459], [0.642, 0.595, 0.000], [0.358, 0.405, 0.000], [0.500, 0.000, 0.000], [0.000, 0.689, 0.622], [0.000, 0.311, 0.378]]
}

Entry 3:
{
  "formula": "MgSiPbS4",
  "functional": "PBE",
  "state": "optimized geometry",
  "magnetic_moment_mub_per_cell": 0.00,
  "e_tot_ev_per_cell": -65.16,
  "spacegroup": "P2_1/m",
  "cell": [[6.297, 0.000, 0.124], [0.000, 6.670, 0.000], [-2.313, 0.000, 7.410]],
  "species": ["Si", "Si", "S", "S", "S", "S", "S", "S", "S", "S", "Mg", "Mg", "Pb", "Pb"],
  "fractional_positions": [[0.234, 0.750, 0.324], [0.766, 0.250, 0.676], [0.449, 0.750, 0.585], [0.004, 0.504, 0.278], [0.577, 0.250, 0.863], [0.004, 0.996, 0.278], [0.551, 0.250, 0.415], [0.423, 0.750, 0.137], [0.996, 0.004, 0.722], [0.996, 0.496, 0.722], [0.246, 0.250, 0.569], [0.754, 0.750, 0.431], [0.772, 0.750, 0.939], [0.228, 0.250, 0.061]]
}

Entry 4:
{
  "formula": "AlZn7Pd4",
  "functional": "PBE",
  "state": "optimized geometry",
  "magnetic_moment_mub_per_cell": 0.00,
  "e_tot_ev_per_cell": -35.57,
  "e_form_ev_per_atom": -0.178,
  "spacegroup": "C2/m",
  "cell": [[-0.474, 3.676, 2.594], [-5.252, 4.364, -3.198], [-4.534, -1.027, 4.572]],
  "species": ["Zn", "Zn", "Zn", "Zn", "Zn", "Zn", "Zn", "Pd", "Pd", "Pd", "Pd", "Al"],
  "fractional_positions": [[0.648, 0.414, 0.289], [0.352, 0.586, 0.711], [0.056, 0.670, 0.219], [0.944, 0.330, 0.781], [0.214, 0.177, 0.394], [0.500, 0.000, 0.000], [0.786, 0.823, 0.606], [0.307, 0.355, 0.031], [0.693, 0.645, 0.969], [0.398, 0.814, 0.389], [0.602, 0.186, 0.611], [0.000, 0.000, 0.000]]
}

Entry 5:
{
  "formula": "La2InNi4P3",
  "functional": "PBE",
  "state": "optimized geometry",
  "magnetic_moment_mub_per_cell": 0.00,
  "e_tot_ev_per_cell": -60.08,
  "e_form_ev_per_atom": -0.813,
  "spacegroup": "P-4m2",
  "cell": [[-3.841, 1.190, 0.711], [0.369, -1.140, 3.904], [3.267, 9.140, 2.359]],
  "species": ["Ni", "Ni", "Ni", "Ni", "In", "P", "P", "P", "La", "La"],
  "fractional_positions": [[0.000, 0.000, 0.000], [0.000, 0.500, 0.350], [0.500, 0.500, 0.000], [0.500, 0.000, 0.650], [0.500, 0.500, 0.500], [0.000, 0.500, 0.122], [0.000, 0.000, 0.500], [0.500, 0.000, 0.878], [0.500, 0.000, 0.231], [0.000, 0.500, 0.769]]
}

Entry 6:
{
  "formula": "SnGePd6",
  "functional": "PBE",
  "state": "optimized geometry",
  "magnetic_moment_mub_per_cell": 0.00,
  "e_tot_ev_per_cell": -42.13,
  "e_form_ev_per_atom": -0.294,
  "spacegroup": "C2/m",
  "cell": [[-0.003, -4.679, 0.013], [4.243, -1.411, -1.376], [3.669, -2.226, 5.977]],
  "species": ["Sn", "Pd", "Pd", "Pd", "Pd", "Pd", "Pd", "Ge"],
  "fractional_positions": [[0.500, 0.500, 0.500], [0.338, 0.338, 0.951], [0.662, 0.662, 0.049], [0.432, 0.923, 0.707], [0.077, 0.568, 0.293], [0.568, 0.077, 0.293], [0.923, 0.432, 0.707], [0.000, 0.000, 0.000]]
}

Entry 7:
{
  "formula": "DyThTc2",
  "functional": "PBE",
  "state": "optimized geometry",
  "magnetic_moment_mub_per_cell": 0.00,
  "e_tot_ev_per_cell": -32.74,
  "e_form_ev_per_atom": 0.004,
  "spacegroup": "P4/mmm",
  "cell": [[3.492, 0.000, 0.000], [0.000, 3.492, 0.000], [0.000, 0.000, 6.964]],
  "species": ["Th", "Tc", "Tc", "Dy"],
  "fractional_positions": [[0.500, 0.500, 0.000], [0.000, 0.000, 0.233], [0.000, 0.000, 0.767], [0.500, 0.500, 0.500]]
}

Entry 8:
{
  "formula": "LaSmEr2Tm2",
  "functional": "PBE",
  "state": "optimized geometry",
  "magnetic_moment_mub_per_cell": 0.00,
  "e_tot_ev_per_cell": -54.52,
  "e_form_ev_per_atom": 0.076,
  "spacegroup": "Pnnm",
  "cell": [[5.646, 0.000, 0.000], [0.000, 9.815, 0.000], [0.000, 0.000, 6.923]],
  "species": ["Tm", "Tm", "Tm", "Tm", "Er", "Er", "Er", "Er", "Sm", "Sm", "La", "La"],
  "fractional_positions": [[0.000, 0.334, 0.249], [0.500, 0.834, 0.251], [0.000, 0.666, 0.751], [0.500, 0.166, 0.749], [0.500, 0.167, 0.251], [0.000, 0.333, 0.751], [0.000, 0.667, 0.249], [0.500, 0.833, 0.749], [0.000, 0.000, 0.500], [0.500, 0.500, 0.000], [0.000, 0.000, 0.000], [0.500, 0.500, 0.500]]
}

Entry 9:
{
  "formula": "Ho3PS6",
  "functional": "PBE",
  "state": "optimized geometry",
  "magnetic_moment_mub_per_cell": 0.00,
  "e_tot_ev_per_cell": -118.36,
  "spacegroup": "Cmc2_1",
  "cell": [[-4.573, -3.488, -3.958], [0.655, -6.583, 5.045], [-6.250, 4.247, 3.480]],
  "species": ["S", "S", "S", "S", "S", "S", "S", "S", "S", "S", "S", "S", "Ho", "Ho", "Ho", "Ho", "Ho", "Ho", "P", "P"],
  "fractional_positions": [[0.689, 0.314, 0.359], [0.192, 0.420, 0.902], [0.692, 0.580, 0.098], [0.689, 0.641, 0.686], [0.109, 0.780, 0.220], [0.609, 0.220, 0.780], [0.189, 0.359, 0.314], [0.189, 0.686, 0.641], [0.192, 0.098, 0.580], [0.705, 0.968, 0.032], [0.692, 0.902, 0.420], [0.205, 0.032, 0.968], [0.907, 0.601, 0.399], [0.472, 0.289, 0.085], [0.972, 0.085, 0.289], [0.972, 0.711, 0.915], [0.472, 0.915, 0.711], [0.407, 0.399, 0.601], [0.560, 0.816, 0.184], [0.060, 0.184, 0.816]]
}

Entry 10:
{
  "formula": "Al2CoBr",
  "functional": "PBE",
  "state": "optimized geometry",
  "magnetic_moment_mub_per_cell": 0.00,
  "e_tot_ev_per_cell": -30.11,
  "spacegroup": "I-42d",
  "cell": [[6.215, 0.000, 0.000], [0.000, 6.215, 0.000], [3.107, 3.107, 4.776]],
  "species": ["Al", "Al", "Al", "Al", "Co", "Co", "Br", "Br"],
  "fractional_positions": [[0.875, 0.811, 0.750], [0.189, 0.625, 0.250], [0.561, 0.125, 0.250], [0.375, 0.439, 0.750], [0.250, 0.750, 0.500], [0.500, 0.500, 0.000], [0.750, 0.250, 0.500], [0.000, 0.000, 0.000]]
}

Entry 11:
{
  "formula": "Y2HRuRh",
  "functional": "PBE",
  "state": "optimized geometry",
  "magnetic_moment_mub_per_cell": 0.00,
  "e_tot_ev_per_cell": -35.84,
  "spacegroup": "P4/mmm",
  "cell": [[4.844, 0.000, 0.000], [0.000, 4.844, 0.000], [0.000, 0.000, 3.568]],
  "species": ["H", "Y", "Y", "Rh", "Ru"],
  "fractional_positions": [[0.000, 0.000, 0.000], [0.000, 0.500, 0.000], [0.500, 0.000, 0.000], [0.500, 0.500, 0.500], [0.000, 0.000, 0.500]]
}

Entry 12:
{
  "formula": "K2Tl",
  "functional": "PBE",
  "state": "optimized geometry",
  "magnetic_moment_mub_per_cell": 0.00,
  "e_tot_ev_per_cell": -4.44,
  "e_form_ev_per_atom": 0.041,
  "spacegroup": "P-3m1",
  "cell": [[-2.842, -1.705, -2.697], [2.517, -2.541, 2.338], [-6.506, -0.086, 6.911]],
  "species": ["K", "K", "Tl"],
  "fractional_positions": [[0.667, 0.333, 0.711], [0.333, 0.667, 0.289], [0.000, 0.000, 0.000]]
}